DFT (PBE+U) results for a relaxed MnRhO2 crystal.

E above lowest polymorph in meV per atom: 344
V in Å³/atom: 13.9
Total magnetization in μB per formula unit: 2.219
D(E_F) in states/eV/atom: 0.548

Unit cell a=4.8118 b=4.8118 c=5.8963 alpha=65.92 beta=65.92 gamma=90.00
Closest atoms and distances in Å follow each position.
Positions (direct):
O  0.3750  0.3953  0.7500  2 Mn 2.03, 2 Rh 2.14
O  0.6047  0.1250  0.2500  2 Mn 2.03, 2 Rh 2.14
O  0.1453  0.6250  0.2500  2 Mn 2.03, 2 Rh 2.14
O  0.8750  0.8547  0.7500  2 Mn 2.03, 2 Rh 2.14
Mn  0.2500  0.7500  0.5000  4 O 2.03
Mn  0.5000  0.5000  0.0000  4 O 2.03
Rh  0.0000  0.0000  0.0000  4 O 2.14
Rh  0.7500  0.2500  0.5000  4 O 2.14